Entry 1:
# BaIn2Pd, relaxed, DFT PBE-GGA
data_BaIn2Pd
_cell_length_a 4.6278
_cell_length_b 11.6984
_cell_length_c 8.1828
_cell_angle_alpha 90.00
_cell_angle_beta 90.00
_cell_angle_gamma 90.00
_space_group_name_H-M_alt 'C m c m'
_space_group_IT_number 63
_space_group_name_Hall '-C 2c 2'
loop_
_atom_site_label
_atom_site_fract_x
_atom_site_fract_y
_atom_site_fract_z
Ba1 0.0000 0.0513 0.2500
In1 0.0000 0.3358 0.0565
Pd1 0.0000 0.2235 0.7500
# Calculated volume = 27.687 A^3/atom
# Final energy = -3.719 eV/atom

---

Entry 2:
# Ba5InPd, relaxed, DFT PBE-GGA
data_Ba5InPd
_cell_length_a 6.8148
_cell_length_b 22.4408
_cell_length_c 8.2100
_cell_angle_alpha 90.00
_cell_angle_beta 93.20
_cell_angle_gamma 90.00
_space_group_name_H-M_alt 'C 1 2/c 1'
_space_group_IT_number 15
_space_group_name_Hall '-C 2yc'
loop_
_atom_site_label
_atom_site_fract_x
_atom_site_fract_y
_atom_site_fract_z
Ba1 0.0000 0.1324 0.2500
Ba2 0.0044 0.3072 0.4927
Ba3 0.2421 0.4650 0.1088
In1 0.0000 0.1754 0.7500
Pd1 0.0000 0.4198 0.7500
# Calculated volume = 44.771 A^3/atom
# Final energy = -2.784 eV/atom